(1)
Below is crystalline TbPm4Mg5 at its relaxed geometry, with properties calculated at the PBE level.

## Properties
The value obtained for the density of states at the Fermi level is 1.250 states/eV/atom.

abc: 3.8439 3.8439 19.3348
angles: 90.00 90.00 90.00
Positions (direct):
Tb 0.0000 0.0000 0.0000
Pm 0.0000 0.0000 0.1973
Pm 0.0000 0.0000 0.3990
Pm 0.0000 0.0000 0.6010
Pm 0.0000 0.0000 0.8027
Mg 0.5000 0.5000 0.0966
Mg 0.5000 0.5000 0.2980
Mg 0.5000 0.5000 0.5000
Mg 0.5000 0.5000 0.7020
Mg 0.5000 0.5000 0.9034


(2)
Below is crystalline Tb2Pm4Mg at its relaxed geometry, with properties calculated at the PBE level.

## Properties
The value obtained for the density of states at the Fermi level is 1.373 states/eV/atom. For the distance to the lowest polymorph of the same formula, the calculation gives 0.034 eV per atom.

abc: 6.0573 6.6756 11.6461
angles: 90.00 105.25 90.00
Positions (direct):
Tb 0.5935 0.7500 0.0045
Tb 0.4065 0.2500 0.9955
Tb 0.2804 0.2500 0.4258
Tb 0.7196 0.7500 0.5742
Pm 0.6401 0.5004 0.2841
Pm 0.0171 0.7500 0.8758
Pm 0.9829 0.2500 0.1242
Pm 0.6401 0.9996 0.2841
Pm 0.8500 0.2500 0.5583
Pm 0.3599 0.0004 0.7159
Pm 0.3599 0.4996 0.7159
Pm 0.1500 0.7500 0.4417
Mg 0.1437 0.7500 0.1646
Mg 0.8563 0.2500 0.8354


(3)
Below is crystalline Tb3Pm7Mg at its relaxed geometry, with properties calculated at the PBE level.

## Properties
The value obtained for the density of states at the Fermi level is 1.427 states/eV/atom.

abc: 8.6711 7.1065 7.1065
angles: 120.00 90.00 90.00
Positions (direct):
Tb 0.7836 0.5012 0.4988
Tb 0.7836 0.5012 0.0024
Tb 0.7836 0.9976 0.4988
Pm 0.1159 0.1670 0.8330
Pm 0.1159 0.1670 0.3339
Pm 0.1164 0.6667 0.3333
Pm 0.4503 0.8311 0.1689
Pm 0.4503 0.3378 0.1689
Pm 0.4503 0.8311 0.6622
Pm 0.1159 0.6661 0.8330
Mg 0.4493 0.3333 0.6667


(4)
Below is crystalline Tb2Pm2Mg15 at its relaxed geometry, with properties calculated at the PBE level.

## Properties
The value obtained for the density of states at the Fermi level is 0.808 states/eV/atom.

abc: 7.9295 7.9295 7.9295
angles: 83.11 83.11 83.11
Positions (direct):
Tb 0.3300 0.3300 0.3300
Tb 0.6700 0.6700 0.6700
Pm 0.0963 0.0963 0.0963
Pm 0.9037 0.9037 0.9037
Mg 0.5000 0.0000 0.0000
Mg 0.0000 0.0000 0.5000
Mg 0.0000 0.5000 0.0000
Mg 0.0000 0.6961 0.3039
Mg 0.6961 0.3039 0.0000
Mg 0.3039 0.0000 0.6961
Mg 0.3039 0.6961 0.0000
Mg 0.6961 0.0000 0.3039
Mg 0.0000 0.3039 0.6961
Mg 0.1599 0.6438 0.6438
Mg 0.6438 0.6438 0.1599
Mg 0.6438 0.1599 0.6438
Mg 0.8401 0.3562 0.3562
Mg 0.3562 0.3562 0.8401
Mg 0.3562 0.8401 0.3562


(5)
Below is crystalline TbPmMg3 at its relaxed geometry, with properties calculated at the PBE level.

## Properties
The value obtained for the density of states at the Fermi level is 1.116 states/eV/atom. For the distance to the lowest polymorph of the same formula, the calculation gives 0.053 eV per atom.

abc: 9.0432 9.0432 9.0432
angles: 40.51 40.51 40.51
Site moments in Bohr magnetons follow the coordinates.
Positions (direct):
Tb 0.1655 0.1655 0.1655  0.12
Tb 0.8345 0.8345 0.8345  0.12
Pm 0.4321 0.4321 0.4321  0.10
Pm 0.5679 0.5679 0.5679  0.10
Mg 0.1226 0.1225 0.6108  0.00
Mg 0.6108 0.1226 0.1225  0.00
Mg 0.1225 0.6108 0.1226  0.00
Mg 0.8774 0.8775 0.3892  0.00
Mg 0.8775 0.3892 0.8774  0.00
Mg 0.3892 0.8774 0.8775  0.00


(6)
Below is crystalline Tb2Pm5Mg at its relaxed geometry, with properties calculated at the PBE level.

## Properties
The value obtained for the density of states at the Fermi level is 0.915 states/eV/atom.

abc: 7.1702 7.1700 7.1296
angles: 120.19 120.19 90.01
Positions (direct):
Tb 0.2221 0.7221 0.4442
Tb 0.7221 0.2221 0.4442
Pm 0.7221 0.2221 0.9443
Pm 0.2221 0.2221 0.9442
Pm 0.7221 0.7221 0.9442
Pm 0.2221 0.7221 0.9442
Pm 0.7221 0.7221 0.4441
Mg 0.2223 0.2223 0.4445


Calculated formation enthalpy at 0 K, -0.102, 0.091, 0.180, 0.030, 0.015, 0.006 eV/atom (same order as the records).
Calculated ρ, 5.0, 6.7, 6.6, 3.3, 4.4, 6.9 g/cm³ (same order as the records).